(1)
{
  "formula": "CsLi2LaBr6",
  "functional": "GGA-PBE",
  "state": "optimized geometry",
  "lattice": [[7.500, 0.000, 0.000], [-3.740, 6.502, 0.000], [-0.008, -4.321, 6.820]],
  "species": ["Cs", "Li", "Li", "La", "Br", "Br", "Br", "Br", "Br", "Br"],
  "fractional_positions": [[0.000, 0.000, 0.000], [0.228, 0.456, 0.682], [0.739, 0.479, 0.219], [0.535, 0.071, 0.606], [0.110, 0.593, 0.424], [0.432, 0.395, 0.906], [0.482, 0.314, 0.424], [0.510, 0.943, 0.906], [0.830, 0.940, 0.424], [0.963, 0.473, 0.905]],
  "density_g_cm3": 3.8,
  "dos_ef_per_ev_atom": 0.000,
  "sg": "P1, No. 1",
  "e_form_raw_kcal_per_mol_atoms": -40.2,
  "e_tot_ev_per_cell": -37.06
}


(2)
{
  "formula": "NdYGaSn",
  "functional": "GGA-PBE",
  "state": "optimized geometry",
  "lattice": [[4.215, 0.000, 0.000], [0.000, 4.545, 0.000], [0.000, 0.000, 11.371]],
  "species": ["Nd", "Nd", "Y", "Y", "Ga", "Ga", "Sn", "Sn"],
  "fractional_positions": [[0.000, 0.000, 0.000], [0.000, 0.500, 0.500], [0.500, 0.000, 0.279], [0.500, 0.500, 0.779], [0.500, 0.000, 0.553], [0.500, 0.500, 0.053], [0.000, 0.000, 0.717], [0.000, 0.500, 0.217]],
  "delta_e_f_mev_per_atom": -722,
  "density_g_cm3": 6.4,
  "dos_ef_per_ev_atom": 0.918,
  "sg": "Amm2, No. 38",
  "e_tot_ev_per_cell": -42.30
}


(3)
{
  "formula": "Hf2SiOs2",
  "functional": "GGA-PBE",
  "state": "optimized geometry",
  "lattice": [[6.258, 0.000, 0.000], [0.000, 6.258, 0.000], [0.000, 0.000, 4.472]],
  "species": ["Hf", "Hf", "Hf", "Hf", "Si", "Si", "Os", "Os", "Os", "Os"],
  "fractional_positions": [[0.180, 0.320, 0.000], [0.320, 0.820, 0.000], [0.680, 0.180, 0.000], [0.820, 0.680, 0.000], [0.000, 0.000, 0.500], [0.500, 0.500, 0.500], [0.141, 0.641, 0.500], [0.359, 0.141, 0.500], [0.641, 0.859, 0.500], [0.859, 0.359, 0.500]],
  "density_g_cm3": 14.5,
  "dos_ef_per_ev_atom": 0.818,
  "sg": "P4/mbm, No. 127",
  "e_form_raw_kcal_per_mol_atoms": -9.4,
  "e_tot_ev_per_cell": -99.63
}


(4)
{
  "formula": "Sm2Tl2Pt15",
  "functional": "GGA-PBE",
  "state": "optimized geometry",
  "lattice": [[4.744, 2.739, 4.490], [-4.744, 2.739, 4.490], [0.000, -5.478, 4.490]],
  "species": ["Sm", "Sm", "Tl", "Tl", "Pt", "Pt", "Pt", "Pt", "Pt", "Pt", "Pt", "Pt", "Pt", "Pt", "Pt", "Pt", "Pt", "Pt", "Pt"],
  "fractional_positions": [[0.142, 0.142, 0.142], [0.858, 0.858, 0.858], [0.393, 0.393, 0.393], [0.607, 0.607, 0.607], [0.000, 0.500, 0.500], [0.159, 0.159, 0.674], [0.159, 0.674, 0.159], [0.170, 0.500, 0.830], [0.170, 0.830, 0.500], [0.326, 0.841, 0.841], [0.500, 0.000, 0.500], [0.500, 0.170, 0.830], [0.500, 0.500, 0.000], [0.500, 0.830, 0.170], [0.674, 0.159, 0.159], [0.830, 0.170, 0.500], [0.830, 0.500, 0.170], [0.841, 0.326, 0.841], [0.841, 0.841, 0.326]],
  "delta_e_f_mev_per_atom": -412,
  "density_g_cm3": 17.2,
  "dos_ef_per_ev_atom": 0.663,
  "sg": "R-3m, No. 166",
  "e_tot_ev_per_cell": -112.61
}


(5)
{
  "formula": "KTaHg",
  "functional": "GGA-PBE",
  "state": "optimized geometry",
  "lattice": [[4.610, 0.000, 0.000], [2.294, 4.000, 0.000], [0.017, 2.641, 11.606]],
  "species": ["K", "K", "Ta", "Ta", "Hg", "Hg"],
  "fractional_positions": [[0.000, 0.000, 0.000], [0.208, 0.576, 0.642], [0.111, 0.796, 0.321], [0.768, 0.452, 0.321], [0.397, 0.210, 0.190], [0.482, 0.037, 0.452]],
  "delta_e_f_mev_per_atom": 473,
  "density_g_cm3": 6.5,
  "dos_ef_per_ev_atom": 0.726,
  "sg": "P1, No. 1",
  "e_tot_ev_per_cell": -23.67
}


(6)
{
  "formula": "Ac2ThC2I2",
  "functional": "GGA-PBE",
  "state": "optimized geometry",
  "lattice": [[4.832, 0.000, 0.000], [0.000, 4.832, 0.000], [0.000, 0.000, 17.873]],
  "species": ["Ac", "Ac", "Ac", "Ac", "Th", "Th", "C", "C", "C", "C", "I", "I", "I", "I"],
  "fractional_positions": [[0.000, 0.000, 0.093], [0.000, 0.000, 0.907], [0.500, 0.500, 0.407], [0.500, 0.500, 0.593], [0.000, 0.000, 0.500], [0.500, 0.500, 0.000], [0.000, 0.500, 0.000], [0.000, 0.500, 0.500], [0.500, 0.000, 0.000], [0.500, 0.000, 0.500], [0.000, 0.000, 0.314], [0.000, 0.000, 0.686], [0.500, 0.500, 0.186], [0.500, 0.500, 0.814]],
  "density_g_cm3": 7.7,
  "dos_ef_per_ev_atom": 0.429,
  "sg": "I4/mmm, No. 139",
  "e_form_raw_kcal_per_mol_atoms": -12.2,
  "e_tot_ev_per_cell": -81.76
}


(7)
{
  "formula": "Tl2GeBiO4",
  "functional": "GGA-PBE",
  "state": "optimized geometry",
  "lattice": [[7.517, 0.000, 0.000], [0.000, 8.463, 0.000], [0.000, 0.000, 5.120]],
  "species": ["Tl", "Tl", "Tl", "Tl", "Ge", "Ge", "Bi", "Bi", "O", "O", "O", "O", "O", "O", "O", "O"],
  "fractional_positions": [[0.228, 0.137, 0.000], [0.272, 0.863, 0.500], [0.728, 0.863, 0.500], [0.772, 0.137, 0.000], [0.000, 0.386, 0.476], [0.500, 0.614, 0.976], [0.000, 0.659, 0.008], [0.500, 0.341, 0.508], [0.000, 0.409, 0.124], [0.000, 0.585, 0.594], [0.196, 0.280, 0.558], [0.304, 0.720, 0.058], [0.500, 0.415, 0.094], [0.500, 0.591, 0.624], [0.696, 0.720, 0.058], [0.804, 0.280, 0.558]],
  "density_g_cm3": 7.7,
  "dos_ef_per_ev_atom": 0.083,
  "sg": "Pmn2_1, No. 31",
  "e_form_raw_kcal_per_mol_atoms": -25.0,
  "e_tot_ev_per_cell": -83.51
}


(8)
{
  "formula": "MnInI4",
  "functional": "GGA-PBE",
  "state": "optimized geometry",
  "lattice": [[6.867, 0.000, 0.000], [0.000, 6.867, 0.000], [0.000, 0.000, 12.560]],
  "species": ["Mn", "Mn", "In", "In", "I", "I", "I", "I", "I", "I", "I", "I"],
  "fractional_positions": [[0.000, 0.000, 0.000], [0.500, 0.500, 0.500], [0.000, 0.500, 0.250], [0.500, 0.000, 0.750], [0.222, 0.762, 0.882], [0.238, 0.222, 0.118], [0.262, 0.278, 0.618], [0.278, 0.738, 0.382], [0.722, 0.262, 0.382], [0.738, 0.722, 0.618], [0.762, 0.778, 0.118], [0.778, 0.238, 0.882]],
  "density_g_cm3": 3.8,
  "dos_ef_per_ev_atom": 0.360,
  "sg": "I-4, No. 82",
  "e_form_raw_kcal_per_mol_atoms": -9.2,
  "e_tot_ev_per_cell": -41.01
}


(9)
{
  "formula": "NaPmMg17",
  "functional": "GGA-PBE",
  "state": "optimized geometry",
  "lattice": [[5.168, 2.984, 5.121], [-5.168, 2.984, 5.121], [0.000, -5.968, 5.121]],
  "species": ["Na", "Pm", "Mg", "Mg", "Mg", "Mg", "Mg", "Mg", "Mg", "Mg", "Mg", "Mg", "Mg", "Mg", "Mg", "Mg", "Mg", "Mg", "Mg"],
  "fractional_positions": [[0.000, 0.000, 0.000], [0.329, 0.329, 0.329], [0.010, 0.010, 0.503], [0.010, 0.503, 0.010], [0.164, 0.653, 0.653], [0.311, 0.311, 0.818], [0.311, 0.818, 0.311], [0.356, 0.658, 0.962], [0.356, 0.962, 0.658], [0.503, 0.010, 0.010], [0.561, 0.561, 0.561], [0.653, 0.164, 0.653], [0.653, 0.653, 0.164], [0.658, 0.356, 0.962], [0.658, 0.962, 0.356], [0.759, 0.759, 0.759], [0.818, 0.311, 0.311], [0.962, 0.356, 0.658], [0.962, 0.658, 0.356]],
  "delta_e_f_mev_per_atom": 8,
  "density_g_cm3": 2.0,
  "dos_ef_per_ev_atom": 0.443,
  "sg": "R3m, No. 160",
  "e_tot_ev_per_cell": -33.03
}


(10)
{
  "formula": "Pm2Pr6HoTm",
  "functional": "GGA-PBE",
  "state": "optimized geometry",
  "lattice": [[4.653, -7.743, 0.000], [4.653, 7.743, 0.000], [-1.392, 0.000, 9.715]],
  "species": ["Pm", "Pm", "Pm", "Pm", "Pr", "Pr", "Pr", "Pr", "Pr", "Pr", "Pr", "Pr", "Pr", "Pr", "Pr", "Pr", "Ho", "Ho", "Tm", "Tm"],
  "fractional_positions": [[0.198, 0.296, 0.044], [0.296, 0.198, 0.544], [0.704, 0.802, 0.456], [0.802, 0.704, 0.956], [0.010, 0.570, 0.191], [0.120, 0.759, 0.554], [0.241, 0.880, 0.946], [0.293, 0.504, 0.382], [0.430, 0.990, 0.309], [0.496, 0.707, 0.118], [0.504, 0.293, 0.882], [0.570, 0.010, 0.691], [0.707, 0.496, 0.618], [0.759, 0.120, 0.054], [0.880, 0.241, 0.446], [0.990, 0.430, 0.809], [0.023, 0.977, 0.250], [0.977, 0.023, 0.750], [0.410, 0.590, 0.750], [0.590, 0.410, 0.250]],
  "delta_e_f_mev_per_atom": 114,
  "density_g_cm3": 7.0,
  "dos_ef_per_ev_atom": 1.453,
  "sg": "C2/c, No. 15",
  "e_tot_ev_per_cell": -92.18
}


(11)
{
  "formula": "Pm2CdHgRh",
  "functional": "GGA-PBE",
  "state": "optimized geometry",
  "lattice": [[4.277, 0.000, 0.000], [0.000, 4.277, 0.000], [0.000, 0.000, 14.116]],
  "species": ["Pm", "Pm", "Pm", "Pm", "Cd", "Cd", "Hg", "Hg", "Rh", "Rh"],
  "fractional_positions": [[0.250, 0.250, 0.104], [0.250, 0.250, 0.712], [0.750, 0.750, 0.288], [0.750, 0.750, 0.896], [0.250, 0.750, 0.500], [0.750, 0.250, 0.500], [0.250, 0.250, 0.347], [0.750, 0.750, 0.653], [0.250, 0.250, 0.900], [0.750, 0.750, 0.100]],
  "delta_e_f_mev_per_atom": -447,
  "density_g_cm3": 9.1,
  "dos_ef_per_ev_atom": 0.386,
  "sg": "P4/nmm, No. 129",
  "e_tot_ev_per_cell": -40.61
}


(12)
{
  "formula": "Ac3La5Pr",
  "functional": "GGA-PBE",
  "state": "optimized geometry",
  "lattice": [[-4.655, 4.655, 8.194], [4.655, -4.655, 8.194], [4.655, 4.655, -8.194]],
  "species": ["Ac", "Ac", "Ac", "Ac", "Ac", "Ac", "La", "La", "La", "La", "La", "La", "La", "La", "La", "La", "Pr", "Pr"],
  "fractional_positions": [[0.129, 0.629, 0.758], [0.250, 0.250, 0.000], [0.371, 0.129, 0.500], [0.629, 0.871, 0.500], [0.750, 0.750, 0.000], [0.871, 0.371, 0.242], [0.000, 0.000, 0.000], [0.050, 0.166, 0.500], [0.166, 0.666, 0.116], [0.334, 0.450, 0.500], [0.450, 0.950, 0.116], [0.500, 0.500, 0.000], [0.550, 0.050, 0.884], [0.666, 0.550, 0.500], [0.834, 0.334, 0.884], [0.950, 0.834, 0.500], [0.250, 0.750, 0.500], [0.750, 0.250, 0.500]],
  "delta_e_f_mev_per_atom": 244,
  "density_g_cm3": 7.1,
  "dos_ef_per_ev_atom": 1.575,
  "sg": "I4/mcm, No. 140",
  "e_tot_ev_per_cell": -79.10
}


(13)
{
  "formula": "In2Ag7HgBi2",
  "functional": "GGA-PBE",
  "state": "optimized geometry",
  "lattice": [[2.911, -2.914, 0.000], [2.911, 2.914, 0.000], [-2.538, 0.000, 15.854]],
  "species": ["In", "In", "Ag", "Ag", "Ag", "Ag", "Ag", "Ag", "Ag", "Hg", "Bi", "Bi"],
  "fractional_positions": [[0.129, 0.129, 0.273], [0.871, 0.871, 0.727], [0.000, 0.000, 0.000], [0.063, 0.564, 0.140], [0.216, 0.216, 0.455], [0.436, 0.937, 0.860], [0.564, 0.063, 0.140], [0.784, 0.784, 0.545], [0.937, 0.436, 0.860], [0.500, 0.500, 0.000], [0.328, 0.328, 0.637], [0.672, 0.672, 0.363]],
  "delta_e_f_mev_per_atom": 100,
  "density_g_cm3": 9.9,
  "dos_ef_per_ev_atom": 0.454,
  "sg": "C2/m, No. 12",
  "e_tot_ev_per_cell": -32.30
}


(14)
{
  "formula": "LiNd2Ni",
  "functional": "GGA-PBE",
  "state": "optimized geometry",
  "lattice": [[3.817, 0.000, 0.000], [-1.909, 3.306, 0.000], [0.000, 0.000, 30.538]],
  "species": ["Li", "Li", "Li", "Nd", "Nd", "Nd", "Nd", "Nd", "Nd", "Ni", "Ni", "Ni"],
  "fractional_positions": [[0.000, 0.000, 0.000], [0.333, 0.667, 0.667], [0.667, 0.333, 0.333], [0.000, 0.000, 0.113], [0.000, 0.000, 0.887], [0.333, 0.667, 0.554], [0.333, 0.667, 0.779], [0.667, 0.333, 0.221], [0.667, 0.333, 0.446], [0.000, 0.000, 0.500], [0.333, 0.667, 0.167], [0.667, 0.333, 0.833]],
  "delta_e_f_mev_per_atom": 91,
  "density_g_cm3": 4.6,
  "dos_ef_per_ev_atom": 1.113,
  "sg": "R-3m, No. 166",
  "e_tot_ev_per_cell": -50.60
}